Material: Ac6LaPr
Method: DFT, PBE-GGA
State: relaxed

Summary:
Energy of formation from the pure elements: 1.5 kJ per mole of atoms
Uncorrected energy: -4.28 eV/atom
Size of the total moment: 0.00 μB/f.u.

Lattice parameters (Å, degrees): 5.552 5.552 11.102 90.00 90.00 90.00
Element x y z (fractional)
Ac 0.500 0.500 0.000
Ac 0.500 0.500 0.500
Ac 0.500 0.000 0.249
Ac 0.500 0.000 0.751
Ac 0.000 0.500 0.249
Ac 0.000 0.500 0.751
La 0.000 0.000 0.500
Pr 0.000 0.000 0.000

=====

Material: YBe2Cu
Method: DFT, PBE-GGA
State: relaxed

Summary:
Energy of formation from the pure elements: -11.5 kJ per mole of atoms
Uncorrected energy: -4.62 eV/atom
Size of the total moment: 0.00 μB/f.u.

Lattice parameters (Å, degrees): 3.815 5.314 3.816 111.07 120.00 89.98
Element x y z (fractional)
Y 0.250 0.750 0.500
Be 0.056 0.169 0.112
Be 0.444 0.331 0.888
Cu 0.750 0.250 0.500

=====

Material: ZnCr2In
Method: DFT, PBE-GGA
State: relaxed

Summary:
Energy of formation from the pure elements: 42.0 kJ per mole of atoms
Uncorrected energy: -5.38 eV/atom
Size of the total moment: 1.25 μB/f.u.

Lattice parameters (Å, degrees): 4.084 2.760 5.921 66.05 90.00 90.00
Last column: magnetic moment on the atom in μB.
Element x y z (fractional)
Cr 0.000 0.017 0.943  0.60
Cr 0.000 0.483 0.557  0.60
In 0.500 0.250 0.250  -0.02
Zn 0.500 0.750 0.750  -0.01

=====

Material: CuNiRh
Method: DFT, PBE-GGA
State: relaxed

Summary:
Energy of formation from the pure elements: 6.5 kJ per mole of atoms
Uncorrected energy: -5.68 eV/atom
Size of the total moment: 1.30 μB/f.u.

Lattice parameters (Å, degrees): 5.669 5.669 5.669 152.94 152.94 38.64
Last column: magnetic moment on the atom in μB.
Element x y z (fractional)
Ni 0.335 0.335 0.000  0.64
Rh 0.671 0.671 0.000  0.65
Cu 0.994 0.994 0.000  0.06

=====

Material: Cs3Er3ZrSe8
Method: DFT, PBE-GGA
State: relaxed

Summary:
Uncorrected energy: -5.17 eV/atom
Size of the total moment: 0.00 μB/f.u.

Lattice parameters (Å, degrees): 8.245 8.243 9.776 114.96 90.00 120.01
Element x y z (fractional)
Cs 0.000 0.000 0.000
Cs 0.000 0.500 0.000
Cs 0.500 0.500 0.000
Er 0.500 0.000 0.500
Er 0.500 0.500 0.500
Er 0.000 0.500 0.500
Zr 0.000 0.000 0.500
Se 0.272 0.544 0.316
Se 0.728 0.456 0.684
Se 0.780 0.559 0.320
Se 0.220 0.441 0.680
Se 0.780 0.041 0.320
Se 0.220 0.959 0.680
Se 0.261 0.041 0.320
Se 0.739 0.959 0.680

=====

Material: CoBi3Rh
Method: DFT, PBE-GGA
State: relaxed

Summary:
Energy of formation from the pure elements: 57.9 kJ per mole of atoms
Uncorrected energy: -4.62 eV/atom
Size of the total moment: 0.00 μB/f.u.

Lattice parameters (Å, degrees): 4.993 4.993 4.993 90.00 90.00 90.00
Element x y z (fractional)
Co 0.000 0.000 0.000
Rh 0.500 0.500 0.500
Bi 0.000 0.500 0.000
Bi 0.000 0.000 0.500
Bi 0.500 0.000 0.000

=====

Material: SmErHgRu
Method: DFT, PBE-GGA
State: relaxed

Summary:
Energy of formation from the pure elements: -31.4 kJ per mole of atoms
Uncorrected energy: -5.04 eV/atom
Size of the total moment: 0.00 μB/f.u.

Lattice parameters (Å, degrees): 5.060 5.060 5.060 60.00 60.00 60.00
Element x y z (fractional)
Ru 0.750 0.750 0.750
Hg 0.250 0.250 0.250
Sm 0.000 0.000 0.000
Er 0.500 0.500 0.500

=====

Material: Na2TcAu
Method: DFT, PBE-GGA
State: relaxed

Summary:
Energy of formation from the pure elements: 80.1 kJ per mole of atoms
Uncorrected energy: -3.24 eV/atom
Size of the total moment: 3.46 μB/f.u.

Lattice parameters (Å, degrees): 8.187 8.187 6.413 50.33 50.33 90.00
Last column: magnetic moment on the atom in μB.
Element x y z (fractional)
Na 0.648 0.125 0.250  -0.01
Na 0.102 0.625 0.250  -0.01
Na 0.375 0.352 0.750  -0.01
Na 0.875 0.898 0.750  -0.01
Au 0.000 0.000 0.000  0.09
Au 0.750 0.250 0.500  0.09
Tc 0.500 0.500 0.000  2.97
Tc 0.250 0.750 0.500  2.97

=====

Material: NaO2F
Method: DFT, PBE-GGA
State: relaxed

Summary:
Uncorrected energy: -3.14 eV/atom
Size of the total moment: 4.00 μB/f.u.

Lattice parameters (Å, degrees): 4.056 4.056 4.056 60.00 60.00 60.00
Last column: magnetic moment on the atom in μB.
Element x y z (fractional)
Na 0.500 0.500 0.500  0.00
O 0.250 0.250 0.250  1.39
O 0.750 0.750 0.750  1.39
F 0.000 0.000 0.000  0.63

=====

Material: SrThNiS4
Method: DFT, PBE-GGA
State: relaxed

Summary:
Uncorrected energy: -5.99 eV/atom
Size of the total moment: 0.77 μB/f.u.

Lattice parameters (Å, degrees): 6.773 5.711 8.318 90.00 106.64 90.00
Last column: magnetic moment on the atom in μB.
Element x y z (fractional)
Sr 0.730 0.750 0.936  0.00
Sr 0.270 0.250 0.064  0.00
Th 0.736 0.750 0.438  0.01
Th 0.264 0.250 0.562  0.01
Ni 0.240 0.750 0.320  0.53
Ni 0.760 0.250 0.680  0.53
S 0.010 0.508 0.734  0.03
S 0.990 0.008 0.266  0.03
S 0.990 0.492 0.266  0.03
S 0.010 0.992 0.734  0.03
S 0.430 0.750 0.136  0.05
S 0.570 0.250 0.864  0.05
S 0.417 0.750 0.592  0.04
S 0.583 0.250 0.408  0.04

=====

Material: K2Ge2Pd
Method: DFT, PBE-GGA
State: relaxed

Summary:
Energy of formation from the pure elements: -15.1 kJ per mole of atoms
Uncorrected energy: -3.48 eV/atom
Size of the total moment: 0.00 μB/f.u.

Lattice parameters (Å, degrees): 6.661 6.661 5.635 90.00 90.00 90.00
Element x y z (fractional)
Ge 0.368 0.868 0.000
Ge 0.868 0.632 0.000
Ge 0.632 0.132 0.000
Ge 0.132 0.368 0.000
K 0.187 0.687 0.500
K 0.687 0.813 0.500
K 0.813 0.313 0.500
K 0.313 0.187 0.500
Pd 0.000 0.000 0.000
Pd 0.500 0.500 0.000

=====

Material: Cr2AsIr
Method: DFT, PBE-GGA
State: relaxed

Summary:
Energy of formation from the pure elements: 13.2 kJ per mole of atoms
Uncorrected energy: -8.05 eV/atom
Size of the total moment: 0.06 μB/f.u.

Lattice parameters (Å, degrees): 8.388 8.388 8.388 18.79 18.79 18.79
Element x y z (fractional)
As 0.750 0.750 0.750
Cr 0.001 0.001 0.001
Cr 0.499 0.499 0.499
Ir 0.250 0.250 0.250